DFT (PBE) results for crystalline Cs2BaNa2F7 at its relaxed geometry.

Lattice parameters (Å, degrees): 6.212 6.211 12.231 90.00 104.64 90.00
Space group C2/m (No. 12)
Asymmetric unit:
1 Cs 0.180 0.000 0.361 x4
2 Ba 0.000 0.000 0.000 x2
3 Na 0.096 0.500 0.191 x4
4 F 0.000 0.500 0.000 x2
5 F 0.173 0.250 0.846 x8
6 F 0.192 0.500 0.385 x4

Properties
formation energy without anion corrections = -33.05 eV/f.u.
total DFT energy (no corrections) = -4.3681 eV per atom